# 1
# Ca3Zn4Pt2 | Alexandria via LeMat-Bulk | PBE | optimized geometry
# Energy (eV per formula unit): -28.36
# Total magnetic moment (μB/f.u.): 0.0
data_Ca3Zn4Pt2
_symmetry_space_group_name_H-M 'C 1 2/m 1'
_symmetry_Int_Tables_number 12
_cell_length_a 10.518
_cell_length_b 4.453
_cell_length_c 8.821
_cell_angle_alpha 90.00
_cell_angle_beta 113.43
_cell_angle_gamma 90.00
loop_
_symmetry_equiv_pos_as_xyz
'x,y,z'
'-x,-y,-z'
'-x,y,-z'
'x,-y,z'
'x+1/2,y+1/2,z'
'-x+1/2,-y+1/2,-z'
'-x+1/2,y+1/2,-z'
'x+1/2,-y+1/2,z'
loop_
_atom_site_label
_atom_site_fract_x
_atom_site_fract_y
_atom_site_fract_z
Ca1 0.000 0.000 0.000
Ca2 0.143 0.500 0.685
Zn1 0.111 0.000 0.427
Zn2 0.220 0.500 0.057
Pt1 0.143 0.500 0.298

=====

# 2
# CaZn2Pt | Alexandria via LeMat-Bulk | PBE | optimized geometry
# Energy (eV per formula unit): -12.48
# Total magnetic moment (μB/f.u.): 0.0
data_CaZn2Pt
_symmetry_space_group_name_H-M 'I m m m'
_symmetry_Int_Tables_number 71
_symmetry_space_group_name_Hall '-I 2 2'
_cell_length_a 4.230
_cell_length_b 4.365
_cell_length_c 7.654
_cell_angle_alpha 90.00
_cell_angle_beta 90.00
_cell_angle_gamma 90.00
loop_
_atom_site_label
_atom_site_fract_x
_atom_site_fract_y
_atom_site_fract_z
Ca1 0.000 0.000 0.000
Zn1 0.000 0.500 0.245
Pt1 0.000 0.000 0.500

=====

# 3
# CaZn2Pt | Alexandria via LeMat-Bulk | PBE | optimized geometry
# Energy (eV per formula unit): -12.83
# Total magnetic moment (μB/f.u.): 0.0
data_CaZn2Pt
_symmetry_space_group_name_H-M 'R -3 m'
_symmetry_Int_Tables_number 166
_symmetry_space_group_name_Hall '-R 3 2"'
_cell_length_a 4.3479
_cell_length_b 4.3479
_cell_length_c 14.9627
_cell_angle_alpha 90.00
_cell_angle_beta 90.00
_cell_angle_gamma 120.00
loop_
_atom_site_label
_atom_site_fract_x
_atom_site_fract_y
_atom_site_fract_z
Ca1 0.0000 0.0000 0.0000
Zn1 0.0000 0.0000 0.2059
Pt1 0.0000 0.0000 0.5000

=====

# 4
# Ca2Zn9Pt6 | Alexandria via LeMat-Bulk | PBE | optimized geometry
# Energy (eV per formula unit): -60.37
# Total magnetic moment (μB/f.u.): 0.0
data_Ca2Zn9Pt6
_symmetry_space_group_name_H-M 'P 6/m m m'
_symmetry_Int_Tables_number 191
_symmetry_space_group_name_Hall '-P 6 2'
_cell_length_a 5.4578
_cell_length_b 5.4578
_cell_length_c 12.3574
_cell_angle_alpha 90.00
_cell_angle_beta 90.00
_cell_angle_gamma 120.00
loop_
_atom_site_label
_atom_site_fract_x
_atom_site_fract_y
_atom_site_fract_z
Ca1 0.0000 0.0000 0.1704
Zn1 0.0000 0.5000 0.0000
Zn2 0.0000 0.5000 0.3373
Pt1 0.3333 0.6667 0.1695
Pt2 0.3333 0.6667 0.5000

=====

# 5
# Ca2ZnPt | Alexandria via LeMat-Bulk | PBE | optimized geometry
# Energy (eV per formula unit): -13.62
# Total magnetic moment (μB/f.u.): 0.0
data_Ca2ZnPt
_symmetry_space_group_name_H-M 'P 4/m m m'
_symmetry_Int_Tables_number 123
_symmetry_space_group_name_Hall '-P 4 2'
_cell_length_a 3.613
_cell_length_b 3.613
_cell_length_c 7.033
_cell_angle_alpha 90.00
_cell_angle_beta 90.00
_cell_angle_gamma 90.00
loop_
_atom_site_label
_atom_site_fract_x
_atom_site_fract_y
_atom_site_fract_z
Ca1 0.000 0.000 0.234
Zn1 0.500 0.500 0.500
Pt1 0.500 0.500 0.000

=====

# 6
# Ca4Zn3Pt | Alexandria via LeMat-Bulk | PBE | optimized geometry
# Energy (eV per formula unit): -21.54
# Total magnetic moment (μB/f.u.): 0.0
data_Ca4Zn3Pt
_symmetry_space_group_name_H-M 'P m m 2'
_symmetry_Int_Tables_number 25
_cell_length_a 4.148
_cell_length_b 4.432
_cell_length_c 11.112
_cell_angle_alpha 90.00
_cell_angle_beta 90.00
_cell_angle_gamma 90.00
loop_
_symmetry_equiv_pos_as_xyz
'x,y,z'
'-x,-y,z'
'-x,y,z'
'x,-y,z'
loop_
_atom_site_label
_atom_site_fract_x
_atom_site_fract_y
_atom_site_fract_z
Ca1 0.000 0.000 0.000
Ca2 0.000 0.500 0.274
Ca3 0.500 0.000 0.475
Ca4 0.500 0.500 0.779
Zn1 0.000 0.000 0.697
Zn2 0.000 0.500 0.567
Zn3 0.500 0.500 0.072
Pt1 0.500 0.000 0.197